# HfCrBi2O6 GGA+U relaxed
data_HfCrBi2O6
_cell_length_a 5.616
_cell_length_b 5.801
_cell_length_c 5.890
_cell_angle_alpha 118.07
_cell_angle_beta 116.99
_cell_angle_gamma 90.20
_symmetry_space_group_name_H-M 'P 1'
_symmetry_Int_Tables_number 1
loop_
_symmetry_equiv_pos_as_xyz
'x,y,z'
loop_
_atom_site_label
_atom_site_type_symbol
_atom_site_fract_x
_atom_site_fract_y
_atom_site_fract_z
Hf1 Hf 0.000 0.000 0.000
Cr1 Cr 0.493 0.503 0.998
Bi1 Bi 0.195 0.637 0.412
Bi2 Bi 0.715 0.146 0.426
O1 O 0.130 0.283 0.475
O2 O 0.265 0.783 0.117
O3 O 0.352 0.293 0.143
O4 O 0.678 0.817 0.989
O5 O 0.813 0.324 0.986
O6 O 0.867 0.827 0.559
# Uncorrected energy in eV/cell: -74.524